Material: YAgW2
Method: DFT, PBE
State: relaxed

Lattice parameters (Å, degrees): 3.5238 3.5238 6.5422 90.00 90.00 90.00
Space group P4/mmm (No. 123)
Symmetry-distinct sites (fractional):
Y 0.0000 0.0000 0.0000 (multiplicity 1)
Ag 0.0000 0.0000 0.5000 (multiplicity 1)
W 0.5000 0.5000 0.3148 (multiplicity 2)

Output
N(E_F): 4.94 states/eV per cell
total magnetization: 0.00 μB/atom
relative energy among the computed polymorphs: 2.15 eV per formula unit
raw total energy: -7.943 eV/atom

***

Material: YAgW2
Method: DFT, PBE
State: relaxed

Lattice parameters (Å, degrees): 10.8082 3.0692 4.7967 90.00 106.35 90.00
Space group C2/m (No. 12)
Symmetry-distinct sites (fractional):
Y 0.0000 0.0000 0.0000 (multiplicity 2)
Ag 0.0000 0.5000 0.5000 (multiplicity 2)
W 0.2380 0.0000 0.7337 (multiplicity 4)

Output
N(E_F): 5.25 states/eV per cell
total magnetization: 0.00 μB/atom
relative energy among the computed polymorphs: 1.00 eV per formula unit
raw total energy: -8.230 eV/atom

***

Material: YAgW2
Method: DFT, PBE
State: relaxed

Lattice parameters (Å, degrees): 6.6799 6.6799 6.6799 90.00 90.00 90.00
Space group Fm-3m (No. 225)
Symmetry-distinct sites (fractional):
Y 0.0000 0.0000 0.0000 (multiplicity 4)
Ag 0.0000 0.0000 0.5000 (multiplicity 4)
W 0.2500 0.2500 0.2500 (multiplicity 8)

Output
N(E_F): 15.89 states/eV per cell
total magnetization: 0.00 μB/atom
relative energy among the computed polymorphs: 3.31 eV per formula unit
raw total energy: -7.654 eV/atom